(1)
Computed, not measured: a relaxed structure of TbPr8Er2 at the GGA-PBE level of DFT.

The total moment is 0.00 μB per formula unit. As for the calculated volume: 36.08 A^3/atom. As for the formation energy: 1.68 eV/f.u. As for the distance to the lowest polymorph of the same formula: 0.000 eV/f.u.

The structure belongs to space group C2/m (No. 12); the cell edges are 10.499, 13.683 and 5.526 Å and the angles 90.00°, 90.16° and 90.00°. The asymmetric unit holds Tb at (0.000, 0.000, 0.000), Pr at (0.000, 0.253, 0.000), Pr at (0.166, 0.135, 0.501), Pr at (0.166, 0.500, 0.000) and Er at (0.000, 0.381, 0.500).

---

(2)
Computed, not measured: a relaxed structure of YMg2P at the GGA-PBE level of DFT.

The total moment is 0.00 μB per formula unit. As for the calculated volume: 21.85 A^3/atom. As for the formation energy: -0.55 eV/f.u.

The structure belongs to space group F-43m (No. 216); the cell edges are 7.044, 7.044 and 7.044 Å and the angles 90.00°, 90.00° and 90.00°. The asymmetric unit holds Y at (0.000, 0.000, 0.000), Mg at (0.000, 0.000, 0.500), Mg at (0.250, 0.250, 0.750) and P at (0.250, 0.250, 0.250).

---

(3)
Computed, not measured: a relaxed structure of HgNF2 at the GGA-PBE level of DFT.

The total moment is 3.00 μB per formula unit. As for the calculated volume: 12.89 A^3/atom. As for the distance to the lowest polymorph of the same formula: 0.547 eV/f.u. The value obtained for the uncorrected formation energy is 0.405 eV/atom.

The structure belongs to space group Fm-3m (No. 225); the cell edges are 5.909, 5.909 and 5.909 Å and the angles 90.00°, 90.00° and 90.00°. The asymmetric unit holds Hg at (0.000, 0.000, 0.000), N at (0.000, 0.000, 0.500) and F at (0.250, 0.250, 0.250).

---

(4)
Computed, not measured: a relaxed structure of La2HoZnSe5 at the GGA-PBE level of DFT.

The total moment is 0.00 μB per formula unit. As for the calculated volume: 25.48 A^3/atom. The value obtained for the uncorrected formation energy is -1.688 eV/atom.

The structure belongs to space group Cmc2_1 (No. 36); the cell edges are 4.083, 17.836 and 12.596 Å and the angles 90.00°, 90.00° and 90.00°. The asymmetric unit holds La at (0.000, 0.117, 0.000), La at (0.000, 0.128, 0.637), Ho at (0.000, 0.196, 0.331), Zn at (0.000, 0.449, 0.754), Se at (0.000, 0.038, 0.360), Se at (0.000, 0.294, 0.989), Se at (0.000, 0.313, 0.671), Se at (0.000, 0.354, 0.320) and Se at (0.000, 0.495, 0.079).

---

(5)
Computed, not measured: a relaxed structure of Li2POs at the GGA-PBE level of DFT.

The total moment is 0.08 μB per formula unit. As for the calculated volume: 13.45 A^3/atom. As for the formation energy: 0.02 eV/f.u.

The structure belongs to space group P4/mmm (No. 123); the cell edges are 2.550, 2.550 and 8.273 Å and the angles 90.00°, 90.00° and 90.00°. The asymmetric unit holds Li at (0.000, 0.000, 0.233), P at (0.500, 0.500, 0.000) and Os at (0.500, 0.500, 0.500).

---

(6)
Computed, not measured: a relaxed structure of LaSmBe at the GGA-PBE level of DFT.

The total moment is 0.00 μB per formula unit. As for the calculated volume: 26.90 A^3/atom. As for the formation energy: 0.60 eV/f.u.

The structure belongs to space group Cmce (No. 64); the cell edges are 6.766, 11.315 and 8.434 Å and the angles 90.00°, 90.00° and 90.00°. The asymmetric unit holds La at (0.000, 0.172, 0.101), Sm at (0.250, 0.069, 0.750) and Be at (0.000, 0.090, 0.444).